Crystalline NaFeSe2 at its relaxed geometry, computed with GGA-PBE.

The calculation puts the volume at 265.9 Å³/cell. The value obtained for the formation energy from raw total energies is 0.06 eV/atom. The crystal system is cubic.

The space group is Fm-3m (No. 225) and the conventional cell measures 6.4306, 6.4306 and 6.4306 Å, with angles of 90.00, 90.00 and 90.00 degrees. The inequivalent atoms are Na at (0.0000, 0.0000, 0.0000), Fe at (0.0000, 0.0000, 0.5000) and Se at (0.2500, 0.2500, 0.2500).